# PBE-GGA Sm3Ho2Tm6, relaxed
data_Sm3Ho2Tm6
_chemical_formula_sum 'Sm6 Ho4 Tm12'
_cell_length_a 4.702
_cell_length_b 4.702
_cell_length_c 32.986
_cell_angle_alpha 90.00
_cell_angle_beta 90.00
_cell_angle_gamma 90.00
_space_group_name_H-M_alt 'I 4/m m m'
_space_group_IT_number 139
_space_group_name_Hall '-I 4 2'
loop_
_atom_site_label
_atom_site_fract_x
_atom_site_fract_y
_atom_site_fract_z
_atom_site_occupancy
Sm1 0.000 0.000 0.000 1
Sm2 0.000 0.000 0.203 1
Ho1 0.000 0.000 0.454 1
Tm1 0.000 0.000 0.307 1
Tm2 0.000 0.500 0.121 1
# V = 33.143 A^3/atom
# energy relative to the lowest polymorph listed for this composition = 24.9 kJ/mol of atoms
# ΔH_f (0 K) = 0.282 eV/atom